{
  "formula": "CeGe2Rh2",
  "functional": "SCAN",
  "state": "single point on PBEsol structure",
  "lattice_angstrom": [[-0.270, -2.432, 3.287], [-3.248, -1.873, -1.653], [4.891, -1.271, -3.093]],
  "species": ["Ge", "Rh", "Ge", "Rh", "Ce"],
  "frac_coords": [[0.379, 0.379, 0.757], [0.250, 0.750, 0.500], [0.621, 0.621, 0.243], [0.750, 0.250, 0.500], [0.000, 0.000, 0.000]],
  "total_magnetization_mub_per_cell": 0.9,
  "sg": "No. 139",
  "dos_at_fermi_per_ev_atom": 0.8639,
  "formation_energy_ev_per_atom": -1.00,
  "e_tot_ev_per_atom": -31.06
}